Density functional theory data (GGA-PBEsol) for a geometry-optimized ZrZn2In structure.

Lattice parameters (Å, degrees): 4.1617 4.1617 4.0660 90.00 90.00 90.00
Space group P4/mmm (No. 123)
Unique sites:
Zr 0.0000 0.0000 0.0000
Zn 0.0000 0.5000 0.5000
In 0.5000 0.5000 0.0000

Properties
Formation energy from the elements, kcal/mol of atoms: -7.7
Volume, Å³/cell: 70.4

Density functional theory data (GGA-PBEsol) for a geometry-optimized In2FeAs structure.

Lattice parameters (Å, degrees): 2.9743 2.9743 8.3097 90.00 90.00 90.00
Space group P4mm (No. 99)
Unique sites:
In 0.0000 0.0000 0.0000
In 0.5000 0.5000 0.3218
Fe 0.5000 0.5000 0.7775
As 0.0000 0.0000 0.6348

Properties
Formation energy from the elements, kcal/mol of atoms: 0.8
Volume, Å³/cell: 73.5

Density functional theory data (GGA-PBEsol) for a geometry-optimized Sc2CoSn structure.

Lattice parameters (Å, degrees): 3.1047 3.1047 28.3194 90.00 90.00 120.00
Space group R-3m (No. 166, hexagonal axes)
Unique sites:
Sc 0.0000 0.0000 0.0789
Co 0.0000 0.0000 0.0000
Sn 0.0000 0.0000 0.5000

Properties
Formation energy from the elements, kcal/mol of atoms: 5.0
Volume, Å³/cell: 236.4

Density functional theory data (GGA-PBEsol) for a geometry-optimized K2TlAu structure.

Lattice parameters (Å, degrees): 4.2272 5.7430 11.0100 90.00 90.00 90.00
Space group Imm2 (No. 44)
Unique sites:
K 0.0000 0.0000 0.0000
K 0.0000 0.5000 0.1966
Tl 0.0000 0.5000 0.7833
Au 0.0000 0.0000 0.4448

Properties
Formation energy from the elements, kcal/mol of atoms: -2.4
Volume, Å³/cell: 267.3

- Number 4 is which compound?
  K2TlAu

- What is the volume in the fourth record?
  267.3 Å³/cell

- Look up the volume of the fourth one.
  267.3 Å³/cell

- What is the volume in the second record?
  73.5 Å³/cell